1.
! TbFeGe3Os | Alexandria via LeMat-Bulk | GGA-PBE | optimized geometry; values from VASP
&SYSTEM
  ibrav = 0, nat = 12, ntyp = 4
/
ATOMIC_SPECIES
Tb 158.93 Tb.upf
Fe 55.84 Fe.upf
Ge 72.64 Ge.upf
Os 190.23 Os.upf
CELL_PARAMETERS angstrom
5.581 0.000 0.000
0.000 7.706 0.000
0.000 -3.853 5.488
ATOMIC_POSITIONS crystal
Tb 0.750 0.264 0.529
Tb 0.250 0.736 0.471
Fe 0.250 0.042 0.085
Fe 0.750 0.958 0.915
Ge 0.250 0.240 0.479
Ge 0.000 0.238 0.000
Ge 0.500 0.762 0.000
Ge 0.500 0.238 0.000
Ge 0.000 0.762 0.000
Ge 0.750 0.760 0.521
Os 0.250 0.452 0.904
Os 0.750 0.548 0.096
! calculated total energy	-6.439	eV per atom
! energy relative to the elements	-76	meV/atom
! symmetry	Cmcm, No. 63
! DOS(E_F)	5.6	states/eV/cell

---

2.
! Fe2GeTeOs | Alexandria via LeMat-Bulk | GGA-PBE | optimized geometry; values from VASP
&SYSTEM
  ibrav = 0, nat = 5, ntyp = 4
/
ATOMIC_SPECIES
Ge 72.64 Ge.upf
Te 127.60 Te.upf
Os 190.23 Os.upf
Fe 55.84 Fe.upf
CELL_PARAMETERS angstrom
-4.187 -1.324 1.674
0.158 -4.059 -2.816
2.129 -2.332 3.480
ATOMIC_POSITIONS crystal
Ge 0.500 0.500 0.500
Te 0.000 0.000 0.000
Os 0.000 0.500 0.000
Fe 0.000 0.000 0.500
Fe 0.500 0.000 0.000
! energy relative to the elements, uncorrected	1.566	eV/atom
! calculated total energy	-5.616	eV per atom
! symmetry	P4/mmm, No. 123
! DOS(E_F)	4.2	states/eV/cell

---

3.
! V2Fe7Ge2Os | Alexandria via LeMat-Bulk | GGA-PBE | optimized geometry; values from VASP
&SYSTEM
  ibrav = 0, nat = 12, ntyp = 4
/
ATOMIC_SPECIES
V 50.94 V.upf
Fe 55.84 Fe.upf
Ge 72.64 Ge.upf
Os 190.23 Os.upf
CELL_PARAMETERS angstrom
-2.041 1.980 -2.031
-2.471 -2.470 0.075
-7.271 5.100 9.294
ATOMIC_POSITIONS crystal
V 0.668 0.668 0.661
V 0.332 0.332 0.339
Fe 0.500 0.500 0.000
Fe 0.236 0.236 0.527
Fe 0.764 0.764 0.473
Fe 0.927 0.427 0.148
Fe 0.427 0.927 0.148
Fe 0.573 0.073 0.852
Fe 0.073 0.573 0.852
Ge 0.859 0.859 0.284
Ge 0.141 0.141 0.716
Os 0.000 0.000 0.000
! calculated total energy	-8.105	eV per atom
! energy relative to the elements	56	meV/atom
! symmetry	C2/m, No. 12
! DOS(E_F)	9.9	states/eV/cell

---

4.
! YFeGe3Os | Alexandria via LeMat-Bulk | GGA-PBE | optimized geometry; values from VASP
&SYSTEM
  ibrav = 0, nat = 12, ntyp = 4
/
ATOMIC_SPECIES
Y 88.91 Y.upf
Fe 55.84 Fe.upf
Ge 72.64 Ge.upf
Os 190.23 Os.upf
CELL_PARAMETERS angstrom
-1.649 -4.258 -3.093
6.865 -3.329 0.923
-5.347 -0.988 4.212
ATOMIC_POSITIONS crystal
Y 0.750 0.295 0.589
Y 0.250 0.705 0.411
Fe 0.250 0.044 0.088
Fe 0.750 0.956 0.912
Ge 0.250 0.234 0.467
Ge 0.000 0.240 0.000
Ge 0.500 0.760 0.000
Ge 0.500 0.240 0.000
Ge 0.000 0.760 0.000
Ge 0.750 0.766 0.533
Os 0.250 0.438 0.877
Os 0.750 0.562 0.123
! calculated total energy	-6.748	eV per atom
! energy relative to the elements	-80	meV/atom
! symmetry	Cmcm, No. 63
! DOS(E_F)	4.6	states/eV/cell

---

5.
! ZrFe2GeOs | Alexandria via LeMat-Bulk | GGA-PBE | optimized geometry; values from VASP
&SYSTEM
  ibrav = 0, nat = 5, ntyp = 4
/
ATOMIC_SPECIES
Ge 72.64 Ge.upf
Os 190.23 Os.upf
Fe 55.84 Fe.upf
Zr 91.22 Zr.upf
CELL_PARAMETERS angstrom
-2.740 0.812 -3.494
-3.819 -1.694 2.602
-0.773 4.160 1.573
ATOMIC_POSITIONS crystal
Ge 0.500 0.500 0.500
Os 0.000 0.000 0.000
Fe 0.000 0.000 0.500
Fe 0.500 0.000 0.000
Zr 0.000 0.500 0.000
! calculated total energy	-7.287	eV per atom
! energy relative to the elements	977	meV/atom
! symmetry	P4/mmm, No. 123
! DOS(E_F)	5.1	states/eV/cell

---

6.
! Fe4GeP12 | Alexandria via LeMat-Bulk | GGA-PBE | optimized geometry; values from VASP
&SYSTEM
  ibrav = 0, nat = 17, ntyp = 3
/
ATOMIC_SPECIES
Fe 55.84 Fe.upf
Ge 72.64 Ge.upf
P 30.97 P.upf
CELL_PARAMETERS angstrom
1.675 5.664 -3.258
3.673 -5.133 -2.380
-6.552 -1.290 -0.955
ATOMIC_POSITIONS crystal
Fe 0.000 0.500 0.000
Fe 0.500 0.000 0.000
Fe 0.500 0.500 0.500
Fe 0.000 0.000 0.500
Ge 0.000 0.000 0.000
P 0.852 0.352 0.204
P 0.352 0.500 0.148
P 0.796 0.148 0.648
P 0.352 0.204 0.852
P 0.204 0.852 0.352
P 0.648 0.500 0.852
P 0.500 0.148 0.352
P 0.500 0.852 0.648
P 0.648 0.796 0.148
P 0.852 0.648 0.500
P 0.148 0.352 0.500
P 0.148 0.648 0.796
! calculated total energy	-6.373	eV per atom
! energy relative to the elements	-291	meV/atom
! symmetry	Im-3, No. 204
! DOS(E_F)	12.6	states/eV/cell

---

The lowest DOS(E_F) belongs to which entry?
Fe2GeTeOs